[1]
This record from the Alexandria database describes a relaxed structure of CrSn2P2. The functional is PBE.

* symmetry: No. 123
* energy relative to the elements: 1274 meV per atom
* theoretical density: 4.14 Mg/m³
* final energy: -22.08 eV per cell

The structure in POSCAR format:
```
CrSn2P2
1.0
5.0219 0.0000 0.0000
0.0000 5.0219 0.0000
0.0000 0.0000 5.5855
P Sn Cr
2 2 1
direct
0.0000 0.5000 0.0000
0.5000 0.0000 0.0000
0.0000 0.0000 0.0000
0.0000 0.0000 0.5000
0.5000 0.5000 0.5000
```

---

[2]
This record from the Alexandria database describes a relaxed structure of Cr2SnP. The functional is PBE.

* symmetry: No. 225
* energy relative to the elements: 371 meV per atom
* theoretical density: 7.27 Mg/m³
* polymorph energy (0 for the lowest one): 125 meV/atom
* final energy: -27.18 eV per cell

The structure in POSCAR format:
```
Cr2SnP
1.0
0.0000 3.0708 3.0708
3.0708 0.0000 3.0708
3.0708 3.0708 0.0000
Cr P Sn
2 1 1
direct
0.7500 0.7500 0.7500
0.2500 0.2500 0.2500
0.0000 0.0000 0.0000
0.5000 0.5000 0.5000
```

---

[3]
This record from the Alexandria database describes a relaxed structure of CrSnP3. The functional is PBE.

* symmetry: No. 221
* energy relative to the elements: 393 meV per atom
* theoretical density: 4.69 Mg/m³
* polymorph energy (0 for the lowest one): 0 meV/atom
* final energy: -27.89 eV per cell

The structure in POSCAR format:
```
CrSnP3
1.0
4.5373 0.0000 0.0000
0.0000 4.5373 0.0000
0.0000 0.0000 4.5373
P Cr Sn
3 1 1
direct
0.0000 0.5000 0.0000
0.5000 0.0000 0.0000
0.0000 0.0000 0.5000
0.0000 0.0000 0.0000
0.5000 0.5000 0.5000
```

---

[4]
This record from the Alexandria database describes a relaxed structure of Cr2SnP. The functional is PBE.

* symmetry: No. 122
* energy relative to the elements: 246 meV per atom
* theoretical density: 6.17 Mg/m³
* polymorph energy (0 for the lowest one): 0 meV/atom
* final energy: -55.35 eV per cell

The structure in POSCAR format:
```
Cr2SnP
1.0
6.8732 0.0000 0.0000
0.0000 6.8732 0.0000
3.4366 3.4366 2.8882
Sn P Cr
2 2 4
direct
0.0000 0.0000 0.0000
0.7500 0.2500 0.5000
0.5000 0.5000 0.0000
0.2500 0.7500 0.5000
0.3750 0.4369 0.7500
0.5631 0.1250 0.2500
0.8750 0.8131 0.7500
0.1869 0.6250 0.2500
```

---

[5]
This record from the Alexandria database describes a relaxed structure of CrSn3P. The functional is PBE.

* symmetry: No. 221
* energy relative to the elements: 766 meV per atom
* theoretical density: 5.17 Mg/m³
* polymorph energy (0 for the lowest one): 223 meV/atom
* final energy: -23.21 eV per cell

The structure in POSCAR format:
```
CrSn3P
1.0
5.2047 0.0000 0.0000
0.0000 5.2047 0.0000
0.0000 0.0000 5.2047
Cr Sn P
1 3 1
direct
0.5000 0.5000 0.5000
0.0000 0.0000 0.5000
0.5000 0.0000 0.0000
0.0000 0.5000 0.0000
0.0000 0.0000 0.0000
```

---

[6]
This record from the Alexandria database describes a relaxed structure of Cr3SnP. The functional is PBE.

* symmetry: No. 221
* energy relative to the elements: 1449 meV per atom
* theoretical density: 4.01 Mg/m³
* polymorph energy (0 for the lowest one): 1085 meV/atom
* final energy: -31.04 eV per cell

The structure in POSCAR format:
```
Cr3SnP
1.0
-0.2349 -4.9884 0.5318
4.6680 -0.0224 1.8523
-1.8375 0.5809 4.6377
Cr P Sn
3 1 1
direct
0.5000 0.0000 0.0000
0.0000 0.0000 0.5000
0.0000 0.5000 0.0000
0.5000 0.5000 0.5000
0.0000 0.0000 0.0000
```

---

[7]
This record from the Alexandria database describes a relaxed structure of Sr2CrP. The functional is PBE.

* symmetry: No. 99
* energy relative to the elements: -15 meV per atom
* theoretical density: 3.78 Mg/m³
* final energy: -18.45 eV per cell

The structure in POSCAR format:
```
Sr2CrP
1.0
3.5472 0.0000 0.0000
0.0000 3.5472 0.0000
0.0000 0.0000 9.0058
Sr P Cr
2 1 1
direct
0.0000 0.0000 0.9207
0.5000 0.5000 0.3162
0.5000 0.5000 0.6696
0.0000 0.0000 0.5935
```

---

[8]
This record from the Alexandria database describes a relaxed structure of Sr3CrP3. The functional is PBE.

* symmetry: No. 64
* energy relative to the elements: -869 meV per atom
* theoretical density: 3.62 Mg/m³
* polymorph energy (0 for the lowest one): 0 meV/atom
* final energy: -147.93 eV per cell

The structure in POSCAR format:
```
Sr3CrP3
1.0
-2.0750 -4.2875 -4.3504
-2.4592 -3.1752 9.0851
-10.7632 6.0277 -0.8068
Sr Cr P
12 4 12
direct
0.3373 0.0000 0.1579
0.4913 0.3557 0.8688
0.6356 0.6443 0.6312
0.1627 0.0000 0.6579
0.6627 0.0000 0.8421
0.0087 0.6443 0.3688
0.1356 0.6443 0.8688
0.8644 0.3557 0.1312
0.8373 0.0000 0.3421
0.5087 0.6443 0.1312
0.3644 0.3557 0.3688
0.9913 0.3557 0.6312
0.9200 0.8400 0.0000
0.4200 0.8400 0.5000
0.0800 0.1600 0.0000
0.5800 0.1600 0.5000
0.7112 0.0000 0.5945
0.6525 0.6879 0.8830
0.2888 0.0000 0.4055
0.3475 0.3121 0.1170
0.9647 0.3121 0.8830
0.1525 0.6879 0.6170
0.2112 0.0000 0.9055
0.7888 0.0000 0.0945
0.4647 0.3121 0.6170
0.5353 0.6879 0.3830
0.8475 0.3121 0.3830
0.0353 0.6879 0.1170
```

---

[9]
This record from the Alexandria database describes a relaxed structure of SrCrP2. The functional is PBE.

* symmetry: No. 99
* energy relative to the elements: -142 meV per atom
* theoretical density: 3.79 Mg/m³
* polymorph energy (0 for the lowest one): 423 meV/atom
* final energy: -22.69 eV per cell

The structure in POSCAR format:
```
SrCrP2
1.0
-2.8010 0.0404 -2.0973
1.8114 -1.7130 -2.4522
-2.1781 -6.2937 2.7876
P Cr Sr
2 1 1
direct
0.5000 0.5000 0.2371
0.0000 0.0000 0.8830
0.5000 0.5000 0.9184
0.0000 0.0000 0.4615
```

---

[10]
This record from the Alexandria database describes a relaxed structure of SrCrP2. The functional is PBE.

* symmetry: No. 141
* energy relative to the elements: -525 meV per atom
* theoretical density: 3.66 Mg/m³
* polymorph energy (0 for the lowest one): 40 meV/atom
* final energy: -48.45 eV per cell

The structure in POSCAR format:
```
SrCrP2
1.0
-0.8788 1.8610 -4.7116
0.9599 -4.6342 -2.0095
-6.6474 -3.0311 -2.7627
Cr P Sr
2 4 2
direct
0.5000 0.5000 0.0000
0.2500 0.7500 0.5000
0.3750 0.1250 0.2500
0.8750 0.6250 0.7500
0.3750 0.6250 0.7500
0.3750 0.6250 0.2500
0.7500 0.2500 0.5000
0.0000 0.0000 0.0000
```

---

[11]
This record from the Alexandria database describes a relaxed structure of Sr4CrP. The functional is PBE.

* symmetry: No. 216
* energy relative to the elements: 847 meV per atom
* theoretical density: 3.09 Mg/m³
* final energy: -16.68 eV per cell

The structure in POSCAR format:
```
Sr4CrP
1.0
0.0000 4.8859 4.8859
4.8859 0.0000 4.8859
4.8859 4.8859 0.0000
Sr P Cr
4 1 1
direct
0.3744 0.3744 0.3744
0.8769 0.3744 0.3744
0.3744 0.3744 0.8769
0.3744 0.8769 0.3744
0.0000 0.0000 0.0000
0.7500 0.7500 0.7500
```

---

[12]
This record from the Alexandria database describes a relaxed structure of Sr2CrP. The functional is PBE.

* symmetry: No. 44
* energy relative to the elements: -166 meV per atom
* theoretical density: 3.42 Mg/m³
* final energy: -19.06 eV per cell

The structure in POSCAR format:
```
Sr2CrP
1.0
-5.4141 1.1212 -5.0957
-7.2807 1.0648 -1.5468
-0.7007 4.4834 -0.2973
Sr Cr P
2 1 1
direct
0.9975 0.9975 0.0024
0.7522 0.7522 0.7479
0.5774 0.5774 0.4226
0.1729 0.1729 0.3271
```

---

[13]
This record from the Alexandria database describes a relaxed structure of Sr2CrP. The functional is PBE.

* symmetry: No. 38
* energy relative to the elements: -258 meV per atom
* theoretical density: 3.69 Mg/m³
* final energy: -19.43 eV per cell

The structure in POSCAR format:
```
Sr2CrP
1.0
4.2550 0.0000 0.0000
0.0000 4.5821 0.0036
0.0000 2.2868 5.9545
Sr Cr P
2 1 1
direct
0.5000 0.2715 0.3321
0.0000 0.9871 0.9009
0.0000 0.6756 0.5238
0.5000 0.5659 0.7432
```

---

[14]
This record from the Alexandria database describes a relaxed structure of SrCrP2. The functional is PBE.

* symmetry: No. 123
* energy relative to the elements: 35 meV per atom
* theoretical density: 4.16 Mg/m³
* polymorph energy (0 for the lowest one): 599 meV/atom
* final energy: -21.99 eV per cell

The structure in POSCAR format:
```
SrCrP2
1.0
5.1186 0.0000 0.0000
0.0000 5.1186 0.0000
0.0000 0.0000 3.0675
P Cr Sr
2 1 1
direct
0.5000 0.5000 0.0000
0.0000 0.0000 0.0000
0.0000 0.5000 0.5000
0.5000 0.0000 0.5000
```

---

[15]
This record from the Alexandria database describes a relaxed structure of Sr2CrP. The functional is PBE.

* symmetry: No. 12
* energy relative to the elements: -49 meV per atom
* theoretical density: 3.04 Mg/m³
* final energy: -18.59 eV per cell

The structure in POSCAR format:
```
Sr2CrP
1.0
-3.5579 1.8675 -1.9247
-2.7594 -2.4766 -2.4705
-6.5752 -1.8663 5.2342
Sr Cr P
2 1 1
direct
0.5206 0.5206 0.4396
0.9794 0.9794 0.0604
0.7500 0.7500 0.7500
0.2500 0.2500 0.2500
```

---

[16]
This record from the Alexandria database describes a relaxed structure of SrCrP2. The functional is PBE.

* symmetry: No. 71
* energy relative to the elements: -369 meV per atom
* theoretical density: 3.81 Mg/m³
* polymorph energy (0 for the lowest one): 196 meV/atom
* final energy: -23.60 eV per cell

The structure in POSCAR format:
```
SrCrP2
1.0
-2.1368 4.3579 -1.4489
-3.4126 -2.8567 -2.4188
1.0423 0.5537 4.9258
Cr Sr P
1 1 2
direct
0.2500 0.7500 0.5000
0.7500 0.2500 0.5000
0.4217 0.4217 0.0000
0.0783 0.0783 0.0000
```

---

[17]
This record from the Alexandria database describes a relaxed structure of SrCrP2. The functional is PBE.

* symmetry: No. 10
* energy relative to the elements: -279 meV per atom
* theoretical density: 5.04 Mg/m³
* polymorph energy (0 for the lowest one): 286 meV/atom
* final energy: -23.24 eV per cell

The structure in POSCAR format:
```
SrCrP2
1.0
-2.9975 -0.4829 0.5073
-0.2391 -1.3814 -2.7279
1.2650 -7.5748 0.2644
Sr Cr P
1 1 2
direct
0.5000 0.2500 0.2500
0.5000 0.7500 0.7500
0.0000 0.4322 0.5676
0.0000 0.0678 0.9324
```

---

[18]
This record from the Alexandria database describes a relaxed structure of Sr2CrP. The functional is PBE.

* symmetry: No. 99
* energy relative to the elements: 147 meV per atom
* theoretical density: 3.43 Mg/m³
* final energy: -17.81 eV per cell

The structure in POSCAR format:
```
Sr2CrP
1.0
4.4042 0.0000 0.0000
0.0000 4.3996 0.0000
0.0000 0.0000 6.4534
Sr Cr P
2 1 1
direct
0.0000 0.0000 0.9174
0.5000 0.5000 0.3146
0.0000 0.0000 0.4625
0.5000 0.5000 0.8055
```

---

[19]
This record from the Alexandria database describes a relaxed structure of SrCrP2. The functional is PBE.

* symmetry: No. 65
* energy relative to the elements: 27 meV per atom
* theoretical density: 4.15 Mg/m³
* polymorph energy (0 for the lowest one): 592 meV/atom
* final energy: -22.02 eV per cell

The structure in POSCAR format:
```
SrCrP2
1.0
-3.6052 -2.2002 -2.0376
3.5102 -2.9723 -0.9131
-0.7010 -1.8089 3.1934
P Sr Cr
2 1 1
direct
0.0000 0.0000 0.0000
0.5000 0.5000 0.0000
0.5000 0.0000 0.5000
0.0000 0.5000 0.5000
```

---

[20]
This record from the Alexandria database describes a relaxed structure of SrCrP2. The functional is PBE.

* symmetry: No. 216
* energy relative to the elements: 417 meV per atom
* theoretical density: 4.16 Mg/m³
* polymorph energy (0 for the lowest one): 982 meV/atom
* final energy: -20.46 eV per cell

The structure in POSCAR format:
```
SrCrP2
1.0
-2.3810 4.1020 -0.9887
-3.8458 -0.0810 -2.9456
-4.4425 0.7155 1.7960
P Cr Sr
2 1 1
direct
0.2500 0.2500 0.2500
0.0000 0.0000 0.0000
0.5000 0.5000 0.5000
0.7500 0.7500 0.7500
```

---

[21]
This record from the Alexandria database describes a relaxed structure of Sr3CrP3. The functional is PBE.

* symmetry: No. 176
* energy relative to the elements: -769 meV per atom
* theoretical density: 3.21 Mg/m³
* polymorph energy (0 for the lowest one): 100 meV/atom
* final energy: -72.56 eV per cell

The structure in POSCAR format:
```
Sr3CrP3
1.0
-6.4482 6.0294 1.0531
-2.0742 -8.4767 -1.6995
-0.1190 -1.1852 6.0566
P Sr Cr
6 6 2
direct
0.9081 0.6033 0.7500
0.6952 0.0918 0.7500
0.3967 0.3048 0.7500
0.0919 0.3967 0.2500
0.3048 0.9082 0.2500
0.6033 0.6952 0.2500
0.7122 0.0777 0.2500
0.6346 0.7122 0.7500
0.2878 0.9223 0.7500
0.0776 0.3654 0.7500
0.3654 0.2878 0.2500
0.9224 0.6346 0.2500
0.3333 0.6667 0.2500
0.6667 0.3333 0.7500
```

---

[22]
This record from the Alexandria database describes a relaxed structure of Sr2CrP. The functional is PBE.

* symmetry: No. 160
* energy relative to the elements: -313 meV per atom
* theoretical density: 3.37 Mg/m³
* final energy: -19.65 eV per cell

The structure in POSCAR format:
```
Sr2CrP
1.0
-7.7194 -0.5505 -3.4010
-8.1417 -2.2190 0.4981
-8.2109 2.0098 -0.0292
Cr P Sr
1 1 2
direct
0.4582 0.4582 0.4582
0.7918 0.7918 0.7918
0.2144 0.2144 0.2144
0.0356 0.0356 0.0356
```

---

[23]
This record from the Alexandria database describes a relaxed structure of SrCrP2. The functional is PBE.

* symmetry: No. 12
* energy relative to the elements: -565 meV per atom
* theoretical density: 4.17 Mg/m³
* polymorph energy (0 for the lowest one): 0 meV/atom
* final energy: -24.38 eV per cell

The structure in POSCAR format:
```
SrCrP2
1.0
-3.4043 -1.9548 -0.3002
-0.8209 -3.1509 2.2132
-3.7309 2.1070 4.8374
P Cr Sr
2 1 1
direct
0.5231 0.5231 0.4190
0.9769 0.9769 0.0810
0.2500 0.2500 0.2500
0.7500 0.7500 0.7500
```

---

[24]
This record from the Alexandria database describes a relaxed structure of SrCrP2. The functional is PBE.

* symmetry: No. 119
* energy relative to the elements: 94 meV per atom
* theoretical density: 4.13 Mg/m³
* polymorph energy (0 for the lowest one): 659 meV/atom
* final energy: -21.75 eV per cell

The structure in POSCAR format:
```
SrCrP2
1.0
5.7369 0.0211 0.0000
2.8840 4.9593 0.0000
-4.3104 -2.4902 2.8516
Sr P Cr
1 2 1
direct
0.5000 0.5000 0.0000
0.2500 0.7500 0.5000
0.0000 0.0000 0.0000
0.7500 0.2500 0.5000
```

---

[25]
This record from the Alexandria database describes a relaxed structure of Sr2CrP. The functional is PBE.

* symmetry: No. 216
* energy relative to the elements: 383 meV per atom
* theoretical density: 4.12 Mg/m³
* final energy: -16.87 eV per cell

The structure in POSCAR format:
```
Sr2CrP
1.0
-0.1836 5.0956 -1.3722
-3.4541 1.6295 -3.6463
-4.1308 2.9685 1.4164
Sr P Cr
2 1 1
direct
0.0000 0.0000 0.0000
0.2500 0.2500 0.2500
0.7500 0.7500 0.7500
0.5000 0.5000 0.5000
```

---

[26]
This record from the Alexandria database describes a relaxed structure of SrCrP2. The functional is PBE.

* symmetry: No. 25
* energy relative to the elements: -389 meV per atom
* theoretical density: 3.61 Mg/m³
* polymorph energy (0 for the lowest one): 176 meV/atom
* final energy: -23.68 eV per cell

The structure in POSCAR format:
```
SrCrP2
1.0
-0.5592 3.7524 -2.5788
-3.7507 0.8949 2.1155
2.3314 2.4692 3.0874
Sr Cr P
1 1 2
direct
0.0000 0.5000 0.4082
0.5000 0.0003 0.8298
0.5000 0.9999 0.3440
0.0000 0.9998 0.9180
```

---

[27]
This record from the Alexandria database describes a relaxed structure of Sr2CrP. The functional is PBE.

* symmetry: No. 47
* energy relative to the elements: -62 meV per atom
* theoretical density: 3.72 Mg/m³
* final energy: -18.65 eV per cell

The structure in POSCAR format:
```
Sr2CrP
1.0
3.9238 0.0000 0.0000
0.0000 3.7678 0.0042
0.0000 3.7571 7.7914
Sr Cr P
2 1 1
direct
0.0000 0.4591 0.5409
0.0000 0.0409 0.9591
0.5000 0.2500 0.2500
0.5000 0.7500 0.7500
```

---

[28]
This record from the Alexandria database describes a relaxed structure of SrCrP2. The functional is PBE.

* symmetry: No. 225
* energy relative to the elements: -41 meV per atom
* theoretical density: 4.27 Mg/m³
* polymorph energy (0 for the lowest one): 524 meV/atom
* final energy: -22.29 eV per cell

The structure in POSCAR format:
```
SrCrP2
1.0
0.0000 3.3968 3.3968
3.3968 0.0000 3.3968
3.3968 3.3968 0.0000
P Cr Sr
2 1 1
direct
0.7500 0.7500 0.7500
0.2500 0.2500 0.2500
0.0000 0.0000 0.0000
0.5000 0.5000 0.5000
```